Pm8Y2In after structural relaxation, computed with PBE-GGA.

It has space group C2/m (No. 12), with a = 18.330 Å, b = 5.040 Å, c = 8.079 Å, α = 90.00°, β = 105.60° and γ = 90.00°. The distinct sites, in fractional coordinates, are Pm at (0.044, 0.000, 0.227), Pm at (0.089, 0.500, 0.942), Pm at (0.136, 0.000, 0.677), Pm at (0.179, 0.500, 0.408), Y at (0.224, 0.000, 0.134) and In at (0.000, 0.500, 0.500).

The energy of formation from the pure elements comes out at -0.07 eV/atom. Its uncorrected energy is -4.947 eV/atom. The calculation puts the density of states at the Fermi level at 30.089 states/eV per cell. Its total magnetization is 0.000 μB/atom.


As4Se3S2 after structural relaxation, computed with PBE-GGA.

It has space group C2/c (No. 15), with a = 13.760 Å, b = 14.545 Å, c = 6.294 Å, α = 90.00°, β = 94.67° and γ = 90.00°. The distinct sites, in fractional coordinates, are As at (0.135, 0.097, 0.072), As at (0.147, 0.493, 0.532), Se at (0.000, 0.458, 0.250), Se at (0.130, 0.065, 0.463) and S at (0.205, 0.365, 0.952).

Its uncorrected energy is -4.095 eV/atom. The calculation puts the density of states at the Fermi level at 9.798 states/eV per cell. As for the raw formation energy: 4.8 kJ/mol of atoms. Its total magnetization is 0.000 μB/atom.